Entry one
TaTiTe2N | GGA-PBE | optimized geometry

Values from the calculation:
theoretical density = 6911 kg/m3
V = 23.934 Å³/atom
magnetic moment = 1.9 μB/cell

a = 5.5563 Å, b = 5.5563 Å, c = 3.8762 Å
α = 90.00°, β = 90.00°, γ = 90.00°
With the nearest neighbours (Å) after each atom.
Sites, in units of the cell vectors:
1 Ta 0.0000 0.0000 0.0000  2 N 1.94
2 Ti 0.5000 0.5000 0.5000  8 Te 3.39
3 Te 0.0000 0.5000 0.0000  2 Ta 2.78
4 Te 0.5000 0.0000 0.0000  2 Ta 2.78
5 N 0.0000 0.0000 0.5000  2 Ta 1.94

Entry two
TaTiTe2N | GGA-PBE | optimized geometry

Values from the calculation:
theoretical density = 7667 kg/m3
V = 21.573 Å³/atom
magnetic moment = 1.3 μB/cell

a = 5.4324 Å, b = 5.4324 Å, c = 3.6552 Å
α = 90.00°, β = 90.00°, γ = 90.00°
With the nearest neighbours (Å) after each atom.
Sites, in units of the cell vectors:
1 Ta 0.0000 0.0000 0.0000  8 Te 3.27, 2 Ta 3.66
2 Ti 0.5000 0.5000 0.5000  2 N 1.83
3 Te 0.0000 0.5000 0.5000  2 Ti 2.72
4 Te 0.5000 0.0000 0.5000  2 Ti 2.72
5 N 0.5000 0.5000 0.0000  2 Ti 1.83

Of them, entry two has the lowest stability.

Entry one
TaTlTe2N | GGA-PBE | optimized geometry

Values from the calculation:
theoretical density = 8029 kg/m3
V = 27.075 Å³/atom
magnetic moment = 3.7 μB/cell

a = 5.7633 Å, b = 5.7633 Å, c = 4.0756 Å
α = 90.00°, β = 90.00°, γ = 90.00°
With the nearest neighbours (Å) after each atom.
Sites, in units of the cell vectors:
1 Ta 0.0000 0.0000 0.0000  8 Te 3.53
2 Tl 0.5000 0.5000 0.5000  2 N 2.04
3 Te 0.0000 0.5000 0.5000  2 Tl 2.88
4 Te 0.5000 0.0000 0.5000  2 Tl 2.88
5 N 0.5000 0.5000 0.0000  2 Tl 2.04

Entry two
TaTlTe2N | GGA-PBE | optimized geometry

Values from the calculation:
theoretical density = 6606 kg/m3
V = 32.906 Å³/atom
magnetic moment = 3.0 μB/cell

a = 5.3655 Å, b = 5.3655 Å, c = 5.7151 Å
α = 90.00°, β = 90.00°, γ = 90.00°
With the nearest neighbours (Å) after each atom.
Sites, in units of the cell vectors:
1 Ta 0.0000 0.0000 0.0000  4 Te 2.68, 2 Tl 2.86
2 Tl 0.0000 0.0000 0.5000  2 Ta 2.86
3 Te 0.0000 0.5000 0.0000  2 Ta 2.68
4 Te 0.5000 0.0000 0.0000  2 Ta 2.68
5 N 0.5000 0.5000 0.5000  4 Tl 3.79, 8 Te 3.92

Entry three
TaTlTe2N | GGA-PBE | optimized geometry

Values from the calculation:
theoretical density = 8431 kg/m3
V = 25.782 Å³/atom
magnetic moment = 0.0 μB/cell

a = 5.7250 Å, b = 5.7250 Å, c = 3.9331 Å
α = 90.00°, β = 90.00°, γ = 90.00°
With the nearest neighbours (Å) after each atom.
Sites, in units of the cell vectors:
1 Ta 0.0000 0.0000 0.0000  2 N 1.97
2 Tl 0.5000 0.5000 0.5000  8 Te 3.47
3 Te 0.0000 0.5000 0.0000  2 Ta 2.86
4 Te 0.5000 0.0000 0.0000  2 Ta 2.86
5 N 0.0000 0.0000 0.5000  2 Ta 1.97

Of them, entry one has the lowest stability.

Entry one
TaTlTeN2 | GGA-PBE | optimized geometry

Values from the calculation:
theoretical density = 8751 kg/m3
V = 20.529 Å³/atom
magnetic moment = 0.0 μB/cell

a = 4.1730 Å, b = 4.1730 Å, c = 5.8944 Å
α = 90.00°, β = 90.00°, γ = 90.00°
With the nearest neighbours (Å) after each atom.
Sites, in units of the cell vectors:
1 Ta 0.0000 0.0000 0.0000  4 Te 2.95
2 Tl 0.5000 0.5000 0.5000  4 N 2.09
3 Te 0.5000 0.5000 0.0000  2 Tl 2.95, 4 Ta 2.95
4 N 0.0000 0.5000 0.5000  2 Tl 2.09
5 N 0.5000 0.0000 0.5000  2 Tl 2.09

Entry two
TaTlTeN2 | GGA-PBE | optimized geometry

Values from the calculation:
theoretical density = 9029 kg/m3
V = 19.897 Å³/atom
magnetic moment = 0.0 μB/cell

a = 4.1406 Å, b = 4.1406 Å, c = 5.8027 Å
α = 90.00°, β = 90.00°, γ = 90.00°
With the nearest neighbours (Å) after each atom.
Sites, in units of the cell vectors:
1 Ta 0.0000 0.0000 0.0000  4 N 2.07
2 Tl 0.5000 0.5000 0.5000  4 Te 2.93
3 Te 0.0000 0.0000 0.5000  2 Ta 2.90, 4 Tl 2.93
4 N 0.0000 0.5000 0.0000  2 Ta 2.07
5 N 0.5000 0.0000 0.0000  2 Ta 2.07

Of them, entry one has the lowest stability.

Entry one
TaTeWN2 | GGA-PBE | optimized geometry

Values from the calculation:
theoretical density = 9086 kg/m3
V = 19.021 Å³/atom
magnetic moment = 3.1 μB/cell

a = 4.0337 Å, b = 4.0337 Å, c = 5.8454 Å
α = 90.00°, β = 90.00°, γ = 90.00°
With the nearest neighbours (Å) after each atom.
Sites, in units of the cell vectors:
1 Ta 0.0000 0.0000 0.0000  4 N 2.02
2 Te 0.0000 0.0000 0.5000  4 W 2.85, 2 Ta 2.92
3 W 0.5000 0.5000 0.5000  4 Te 2.85
4 N 0.0000 0.5000 0.0000  2 Ta 2.02
5 N 0.5000 0.0000 0.0000  2 Ta 2.02

Entry two
TaTeWN2 | GGA-PBE | optimized geometry

Values from the calculation:
theoretical density = 9762 kg/m3
V = 17.704 Å³/atom
magnetic moment = 1.5 μB/cell

a = 3.9652 Å, b = 3.9652 Å, c = 5.6300 Å
α = 90.00°, β = 90.00°, γ = 90.00°
With the nearest neighbours (Å) after each atom.
Sites, in units of the cell vectors:
1 Ta 0.0000 0.0000 0.0000  4 Te 2.80
2 Te 0.5000 0.5000 0.0000  4 Ta 2.80, 2 W 2.81
3 W 0.5000 0.5000 0.5000  4 N 1.98
4 N 0.0000 0.5000 0.5000  2 W 1.98
5 N 0.5000 0.0000 0.5000  2 W 1.98

Of them, entry one has the lowest stability.

Entry one
YTaTe2N | GGA-PBE | optimized geometry

Values from the calculation:
theoretical density = 7300 kg/m3
V = 24.523 Å³/atom
magnetic moment = 0.0 μB/cell

a = 5.5849 Å, b = 5.5849 Å, c = 3.9310 Å
α = 90.00°, β = 90.00°, γ = 90.00°
With the nearest neighbours (Å) after each atom.
Sites, in units of the cell vectors:
1 Y 0.0000 0.0000 0.0000  8 Te 3.41
2 Ta 0.5000 0.5000 0.5000  2 N 1.97
3 Te 0.0000 0.5000 0.5000  2 Ta 2.79
4 Te 0.5000 0.0000 0.5000  2 Ta 2.79
5 N 0.5000 0.5000 0.0000  2 Ta 1.97

Entry two
YTaTe2N | GGA-PBE | optimized geometry

Values from the calculation:
theoretical density = 6539 kg/m3
V = 27.377 Å³/atom
magnetic moment = 1.8 μB/cell

a = 5.8269 Å, b = 5.8269 Å, c = 4.0317 Å
α = 90.00°, β = 90.00°, γ = 90.00°
With the nearest neighbours (Å) after each atom.
Sites, in units of the cell vectors:
1 Y 0.0000 0.0000 0.0000  2 N 2.02
2 Ta 0.5000 0.5000 0.5000  8 Te 3.54
3 Te 0.0000 0.5000 0.0000  2 Y 2.91
4 Te 0.5000 0.0000 0.0000  2 Y 2.91
5 N 0.0000 0.0000 0.5000  2 Y 2.02

Of them, entry two has the lowest stability.

Entry one
TaZnTeN2 | GGA-PBE | optimized geometry

Values from the calculation:
theoretical density = 8253 kg/m3
V = 16.175 Å³/atom
magnetic moment = 0.0 μB/cell

a = 3.9585 Å, b = 3.9585 Å, c = 5.1614 Å
α = 90.00°, β = 90.00°, γ = 90.00°
With the nearest neighbours (Å) after each atom.
Sites, in units of the cell vectors:
1 Ta 0.0000 0.0000 0.0000  4 Te 2.80
2 Zn 0.5000 0.5000 0.5000  4 N 1.98
3 Te 0.5000 0.5000 0.0000  2 Zn 2.58, 4 Ta 2.80
4 N 0.0000 0.5000 0.5000  2 Zn 1.98
5 N 0.5000 0.0000 0.5000  2 Zn 1.98

Entry two
TaZnTeN2 | GGA-PBE | optimized geometry

Values from the calculation:
theoretical density = 7019 kg/m3
V = 19.019 Å³/atom
magnetic moment = 0.7 μB/cell

a = 4.0096 Å, b = 4.0096 Å, c = 5.9152 Å
α = 90.00°, β = 90.00°, γ = 90.00°
With the nearest neighbours (Å) after each atom.
Sites, in units of the cell vectors:
1 Ta 0.0000 0.0000 0.0000  4 N 2.00
2 Zn 0.5000 0.5000 0.5000  4 Te 2.84
3 Te 0.0000 0.0000 0.5000  4 Zn 2.84, 2 Ta 2.96
4 N 0.0000 0.5000 0.0000  2 Ta 2.00
5 N 0.5000 0.0000 0.0000  2 Ta 2.00

Of them, entry one has the lowest stability.

Entry one
ZrTaTeN2 | GGA-PBE | optimized geometry

Values from the calculation:
theoretical density = 7221 kg/m3
V = 19.674 Å³/atom
magnetic moment = 0.0 μB/cell

a = 4.1520 Å, b = 4.1520 Å, c = 5.7063 Å
α = 90.00°, β = 90.00°, γ = 90.00°
With the nearest neighbours (Å) after each atom.
Sites, in units of the cell vectors:
1 Zr 0.0000 0.0000 0.0000  4 N 2.08
2 Ta 0.5000 0.5000 0.5000  4 Te 2.94
3 Te 0.0000 0.0000 0.5000  2 Zr 2.85, 4 Ta 2.94
4 N 0.0000 0.5000 0.0000  2 Zr 2.08
5 N 0.5000 0.0000 0.0000  2 Zr 2.08

Entry two
ZrTaTeN2 | GGA-PBE | optimized geometry

Values from the calculation:
theoretical density = 7700 kg/m3
V = 18.450 Å³/atom
magnetic moment = 0.0 μB/cell

a = 4.0836 Å, b = 4.0836 Å, c = 5.5320 Å
α = 90.00°, β = 90.00°, γ = 90.00°
With the nearest neighbours (Å) after each atom.
Sites, in units of the cell vectors:
1 Zr 0.0000 0.0000 0.0000  4 Te 2.89
2 Ta 0.5000 0.5000 0.5000  4 N 2.04
3 Te 0.5000 0.5000 0.0000  2 Ta 2.77, 4 Zr 2.89
4 N 0.0000 0.5000 0.5000  2 Ta 2.04
5 N 0.5000 0.0000 0.5000  2 Ta 2.04

Of them, entry one has the lowest stability.

Entry one
ThTaN2 | GGA-PBE | optimized geometry

Values from the calculation:
theoretical density = 9885 kg/m3
V = 18.520 Å³/atom
magnetic moment = 0.0 μB/cell

a = 3.7363 Å, b = 3.7363 Å, c = 18.3831 Å
α = 90.00°, β = 90.00°, γ = 120.00°
With the nearest neighbours (Å) after each atom.
Sites, in units of the cell vectors:
1 Th 0.0000 0.0000 0.0000  6 N 2.42
2 Th 0.3333 0.6667 0.6667  6 N 2.42
3 Th 0.6667 0.3333 0.3333  6 N 2.42
4 Ta 0.0000 0.0000 0.5000  2 N 1.97
5 Ta 0.3333 0.6667 0.1667  2 N 1.97
6 Ta 0.6667 0.3333 0.8333  2 N 1.97
7 N 0.0000 0.0000 0.3930  1 Ta 1.97
8 N 0.0000 0.0000 0.6070  1 Ta 1.97
9 N 0.3333 0.6667 0.0597  1 Ta 1.97
10 N 0.3333 0.6667 0.2737  1 Ta 1.97
11 N 0.6667 0.3333 0.7263  1 Ta 1.97
12 N 0.6667 0.3333 0.9403  1 Ta 1.97

Entry two
ThTaN2 | GGA-PBE | optimized geometry

Values from the calculation:
theoretical density = 13165 kg/m3
V = 13.907 Å³/atom
magnetic moment = 0.0 μB/cell

a = 5.8853 Å, b = 3.4086 Å, c = 11.0916 Å
α = 90.00°, β = 90.00°, γ = 90.00°
With the nearest neighbours (Å) after each atom.
Sites, in units of the cell vectors:
1 Th 0.0776 0.2500 0.1421  7 N 2.43-2.60
2 Th 0.4224 0.7500 0.6421  7 N 2.43-2.60
3 Th 0.5776 0.2500 0.3579  7 N 2.43-2.60
4 Th 0.9224 0.7500 0.8579  7 N 2.43-2.60
5 Ta 0.0725 0.7500 0.4032  5 N 2.20-2.29
6 Ta 0.4275 0.2500 0.9032  5 N 2.20-2.29
7 Ta 0.5725 0.7500 0.0968  5 N 2.20-2.29
8 Ta 0.9275 0.2500 0.5968  5 N 2.20-2.29
9 N 0.1639 0.2500 0.7509  2 Ta 2.20-2.29
10 N 0.2490 0.2500 0.4911  3 Ta 2.22-2.23, 1 Th 2.43
11 N 0.2510 0.7500 0.9911  3 Ta 2.22-2.23, 1 Th 2.43
12 N 0.3361 0.7500 0.2509  2 Ta 2.20-2.29
13 N 0.6639 0.2500 0.7491  2 Ta 2.20-2.29
14 N 0.7490 0.2500 0.0089  3 Ta 2.22-2.23, 1 Th 2.43
15 N 0.7510 0.7500 0.5089  3 Ta 2.22-2.23, 1 Th 2.43
16 N 0.8361 0.7500 0.2491  2 Ta 2.20-2.29

Of them, entry one has the lowest stability.